This record from the Alexandria database describes an optimized crystal structure of GdThCuMo. The functional is PBE.

## Properties
uncorrected energy: -8.984 eV/atom
D(E_F): 0.86 states/eV/atom

Structure (POSCAR):
```
GdThCuMo
1.0
5.013 0.000 0.000
2.507 4.341 0.000
2.507 1.447 4.093
Gd Cu Th Mo
1 1 1 1
Cartesian
0.000 0.000 0.000 Gd
2.507 1.447 1.023 Cu
5.013 2.894 2.047 Th
7.520 4.341 3.070 Mo
```